Here is crystalline La2Zn4Ga3Hg at its relaxed geometry from Alexandria via LeMat-Bulk. Energies are from PBE.

Output
As for the density of states at the Fermi level: 0.45 states/eV per atom. For the formation energy, the calculation gives -0.4581 eV/atom. Its total energy is -2.89 eV/atom. The space group is P-4m2.

Unit cell a=4.385 b=4.385 c=10.752 alpha=90.00 beta=90.00 gamma=90.00
Atoms (fractional coordinates):
La: 0.000 0.500 0.240
La: 0.500 0.000 0.760
Zn: 0.000 0.000 0.000
Zn: 0.000 0.500 0.642
Zn: 0.500 0.000 0.358
Zn: 0.500 0.500 0.000
Ga: 0.000 0.500 0.871
Ga: 0.500 0.000 0.129
Ga: 0.500 0.500 0.500
Hg: 0.000 0.000 0.500

Here is crystalline BaSrCN2 at its relaxed geometry from Alexandria via LeMat-Bulk. Energies are from PBE.

Output
The value obtained for the uncorrected formation energy is -0.58 eV/atom. As for the density of states at the Fermi level: 0.35 states/eV per atom. Its total energy is -6.47 eV/atom. The space group is Cmme.

Unit cell a=7.826 b=7.826 c=5.334 alpha=90.00 beta=90.00 gamma=117.11
Atoms (fractional coordinates):
Ba: 0.250 0.750 0.841
Ba: 0.750 0.250 0.159
Sr: 0.250 0.250 0.500
Sr: 0.750 0.750 0.500
C: 0.000 0.000 0.000
C: 0.500 0.500 0.000
N: 0.041 0.959 0.791
N: 0.459 0.541 0.791
N: 0.541 0.459 0.209
N: 0.959 0.041 0.209